Entry 1:
Here is a relaxed structure of CaHf2RhPb from Alexandria. Energies are from PBE.

a = 4.915 Å, b = 4.915 Å, c = 5.339 Å
α = 90.00°, β = 90.00°, γ = 90.00°
Fractional coordinates of all 5 atoms:
Ca 0.000 0.000 0.000
Hf 0.000 0.500 0.000
Hf 0.500 0.000 0.000
Rh 0.500 0.500 0.500
Pb 0.000 0.000 0.500

ΔE_f: 1862 meV/atom

***

Entry 2:
Here is a relaxed structure of Pm2Y4N from Alexandria. Energies are from PBE.

a = 4.804 Å, b = 4.804 Å, c = 17.985 Å
α = 90.00°, β = 90.00°, γ = 90.00°
Fractional coordinates of all 14 atoms:
Pm 0.000 0.000 0.175
Pm 0.000 0.000 0.825
Pm 0.500 0.500 0.325
Pm 0.500 0.500 0.675
Y 0.000 0.000 0.369
Y 0.000 0.000 0.631
Y 0.000 0.500 0.000
Y 0.000 0.500 0.500
Y 0.500 0.000 0.000
Y 0.500 0.000 0.500
Y 0.500 0.500 0.131
Y 0.500 0.500 0.869
N 0.000 0.000 0.500
N 0.500 0.500 0.000

Raw formation energy: -0.2688 eV per atom

***

Entry 3:
Here is a relaxed structure of HoTmAlPb from Alexandria. Energies are from PBE.

a = 7.431 Å, b = 7.431 Å, c = 7.431 Å
α = 90.00°, β = 90.00°, γ = 90.00°
Fractional coordinates of all 16 atoms:
Ho 0.000 0.000 0.000
Ho 0.000 0.500 0.500
Ho 0.500 0.000 0.500
Ho 0.500 0.500 0.000
Tm 0.000 0.000 0.500
Tm 0.000 0.500 0.000
Tm 0.500 0.000 0.000
Tm 0.500 0.500 0.500
Al 0.250 0.250 0.750
Al 0.250 0.750 0.250
Al 0.750 0.250 0.250
Al 0.750 0.750 0.750
Pb 0.250 0.250 0.250
Pb 0.250 0.750 0.750
Pb 0.750 0.250 0.750
Pb 0.750 0.750 0.250

ΔE_f: -302 meV/atom

***

no.,DFT total energy (eV per atom)
1,-4.7314
2,-6.5092
3,-4.4266